# 1
## ZnRhAu2 (PBE-GGA)

Data for ZnRhAu2 after structural relaxation.

Properties
DFT total energy = -3.84 eV per atom
calculated volume = 129.1 Å³/cell
formation enthalpy at 0 K = -0.04 eV/atom
ρ = 14.47 g/cm³
total magnetization = 0.000 μB per atom
density of states at the Fermi level = 0.608 states/eV per atom

Cell lengths 3.1966, 4.4744, 9.0231 Å; angles 90.00, 90.00, 90.00 degrees
With the nearest neighbours (Å) after each atom.
Space group Immm (No. 71)
One atom of each set of equivalent atoms:
Zn  0.0000  0.0000  0.0000 (multiplicity 2)  4 Au 2.66, 4 Rh 2.75
Rh  0.0000  0.0000  0.5000 (multiplicity 2)  4 Zn 2.75, 4 Au 2.88
Au  0.0000  0.5000  0.2650 (multiplicity 4)  2 Zn 2.66, 4 Au 2.76, 2 Rh 2.88


# 2
## Mg2SnGe (PBE-GGA)

Data for Mg2SnGe after structural relaxation.

Properties
DFT total energy = -3.04 eV per atom
calculated volume = 291.6 Å³/cell
formation enthalpy at 0 K = -0.09 eV/atom
ρ = 4.10 g/cm³
total magnetization = 0.000 μB per atom
density of states at the Fermi level = 0.457 states/eV per atom

Cell lengths 4.3701, 4.3701, 17.6308 Å; angles 90.00, 90.00, 120.00 degrees
With the nearest neighbours (Å) after each atom.
Space group R3m (No. 160, hexagonal axes)
One atom of each set of equivalent atoms:
Mg  0.0000  0.0000  0.0000 (multiplicity 3)  3 Ge 2.82, 3 Sn 3.12
Mg  0.0000  0.0000  0.2041 (multiplicity 3)  3 Ge 2.72
Sn  0.0000  0.0000  0.4379 (multiplicity 3)  1 Ge 2.77, 3 Mg 3.07
Ge  0.0000  0.0000  0.5947 (multiplicity 3)  6 Mg 2.72-2.82, 1 Sn 2.77


# 3
## VReGe2 (PBE-GGA)

Data for VReGe2 after structural relaxation.

Properties
offset from the most stable computed form = 108.3 meV/atom
DFT total energy = -7.50 eV per atom
calculated volume = 123.8 Å³/cell
formation enthalpy at 0 K = 0.20 eV/atom
ρ = 10.26 g/cm³
total magnetization = 0.000 μB per atom
density of states at the Fermi level = 0.633 states/eV per atom

Cell lengths 4.3343, 5.0098, 5.7097 Å; angles 90.00, 92.72, 90.00 degrees
With the nearest neighbours (Å) after each atom.
Space group Pm (No. 6)
One atom of each set of equivalent atoms:
V  0.0000  0.2356  0.0000 (multiplicity 2)  1 V 2.36, 2 Re 2.54
Re  0.0021  0.0000  0.4985 (multiplicity 1)  8 Ge 2.56-2.79
Re  0.5004  0.5000  0.9989 (multiplicity 1)  4 V 2.54, 6 Ge 2.55-2.84
Ge  0.2390  0.5000  0.3898 (multiplicity 1)  2 Ge 2.45-2.55, 1 Re 2.55
Ge  0.4931  0.0000  0.7659 (multiplicity 1)  4 Re 2.56-2.84, 1 Ge 2.67, 4 V 2.78-2.83
Ge  0.5088  0.0000  0.2338 (multiplicity 1)  4 Re 2.56-2.84, 1 Ge 2.67, 4 V 2.79-2.82
Ge  0.7660  0.5000  0.6090 (multiplicity 1)  2 Ge 2.45-2.55, 1 Re 2.55